(1)
# Na2MgGa2 | Alexandria via LeMat-Bulk | PBE | optimized geometry
# calculated volume = 23.81 Å³/atom
# DFT formation energy = 0.11 eV per atom
# SG = P4/mbm
# total moment = 0.0 μB/f.u.
# energy above the lowest structure with this stoichiometry = 0.0949 eV/atom
data_Na2MgGa2
_symmetry_space_group_name_H-M 'P 1'
_symmetry_Int_Tables_number 1
_cell_length_a 8.7740
_cell_length_b 8.7740
_cell_length_c 3.0925
_cell_angle_alpha 90.00
_cell_angle_beta 90.00
_cell_angle_gamma 90.00
loop_
_symmetry_equiv_pos_as_xyz
'x,y,z'
loop_
_atom_site_label
_atom_site_type_symbol
_atom_site_fract_x
_atom_site_fract_y
_atom_site_fract_z
_atom_site_occupancy
Na1 Na 0.6246 0.1246 0.0000 1
Na2 Na 0.1246 0.3754 0.0000 1
Na3 Na 0.8754 0.6246 0.0000 1
Na4 Na 0.3754 0.8754 0.0000 1
Mg1 Mg 0.5000 0.5000 0.0000 1
Mg2 Mg 0.0000 0.0000 0.0000 1
Ga1 Ga 0.3259 0.1741 0.5000 1
Ga2 Ga 0.8259 0.3259 0.5000 1
Ga3 Ga 0.6741 0.8259 0.5000 1
Ga4 Ga 0.1741 0.6741 0.5000 1

---

(2)
# NaMg2Ga | Alexandria via LeMat-Bulk | PBE | optimized geometry
# calculated volume = 23.78 Å³/atom
# DFT formation energy = -0.02 eV per atom
# SG = P4/mmm
# total moment = 0.0 μB/f.u.
data_NaMg2Ga
_symmetry_space_group_name_H-M 'P 1'
_symmetry_Int_Tables_number 1
_cell_length_a 3.4202
_cell_length_b 3.4202
_cell_length_c 8.1303
_cell_angle_alpha 90.00
_cell_angle_beta 90.00
_cell_angle_gamma 90.00
loop_
_symmetry_equiv_pos_as_xyz
'x,y,z'
loop_
_atom_site_label
_atom_site_type_symbol
_atom_site_fract_x
_atom_site_fract_y
_atom_site_fract_z
_atom_site_occupancy
Na1 Na 0.5000 0.5000 0.5000 1
Mg1 Mg 0.0000 0.0000 0.8009 1
Mg2 Mg 0.0000 0.0000 0.1991 1
Ga1 Ga 0.5000 0.5000 0.0000 1

---

(3)
# Na2MgGa2 | Alexandria via LeMat-Bulk | PBE | optimized geometry
# calculated volume = 23.97 Å³/atom
# DFT formation energy = 0.02 eV per atom
# SG = P4/mbm
# total moment = 0.0 μB/f.u.
# energy above the lowest structure with this stoichiometry = 0.0000 eV/atom
data_Na2MgGa2
_symmetry_space_group_name_H-M 'P 1'
_symmetry_Int_Tables_number 1
_cell_length_a 7.7281
_cell_length_b 7.7281
_cell_length_c 4.0137
_cell_angle_alpha 90.00
_cell_angle_beta 90.00
_cell_angle_gamma 90.00
loop_
_symmetry_equiv_pos_as_xyz
'x,y,z'
loop_
_atom_site_label
_atom_site_type_symbol
_atom_site_fract_x
_atom_site_fract_y
_atom_site_fract_z
_atom_site_occupancy
Mg1 Mg 0.5000 0.5000 0.0000 1
Mg2 Mg 0.0000 0.0000 0.0000 1
Ga1 Ga 0.6232 0.1232 0.0000 1
Ga2 Ga 0.8768 0.6232 0.0000 1
Ga3 Ga 0.1232 0.3768 0.0000 1
Ga4 Ga 0.3768 0.8768 0.0000 1
Na1 Na 0.1742 0.6742 0.5000 1
Na2 Na 0.3258 0.1742 0.5000 1
Na3 Na 0.6742 0.8258 0.5000 1
Na4 Na 0.8258 0.3258 0.5000 1

---

(4)
# NaMgGa3 | Alexandria via LeMat-Bulk | PBE | optimized geometry
# calculated volume = 20.42 Å³/atom
# DFT formation energy = -0.12 eV per atom
# SG = Cmcm
# total moment = 0.0 μB/f.u.
# energy above the lowest structure with this stoichiometry = 0.0000 eV/atom
data_NaMgGa3
_symmetry_space_group_name_H-M 'P 1'
_symmetry_Int_Tables_number 1
_cell_length_a 4.4407
_cell_length_b 3.5387
_cell_length_c 13.1153
_cell_angle_alpha 97.75
_cell_angle_beta 90.00
_cell_angle_gamma 90.00
loop_
_symmetry_equiv_pos_as_xyz
'x,y,z'
loop_
_atom_site_label
_atom_site_type_symbol
_atom_site_fract_x
_atom_site_fract_y
_atom_site_fract_z
_atom_site_occupancy
Mg1 Mg 0.2500 0.7857 0.5713 1
Mg2 Mg 0.7500 0.2143 0.4287 1
Ga1 Ga 0.7500 0.3213 0.6427 1
Ga2 Ga 0.7500 0.5243 0.0486 1
Ga3 Ga 0.2500 0.3756 0.7511 1
Ga4 Ga 0.2500 0.4757 0.9514 1
Ga5 Ga 0.7500 0.6244 0.2489 1
Ga6 Ga 0.2500 0.6787 0.3573 1
Na1 Na 0.7500 0.9235 0.8470 1
Na2 Na 0.2500 0.0765 0.1530 1

---

| no. | density of states at the Fermi level (states/eV per atom) |
| --- | --- |
| 1 | 0.41 |
| 2 | 0.19 |
| 3 | 0.53 |
| 4 | 0.39 |